[1]
MnSiAuS after structural relaxation, computed with GGA-PBE.

Computed properties:
Calculated volume ... 15.48 A^3/atom
Crystal system ... orthorhombic
DFT total energy ... -22.58 eV/f.u.
Raw formation energy ... -0.146 eV per atom
Energy relative to the lowest polymorph listed for this composition ... 0.090 eV/atom
Magnetic moment ... 0.72 μB per cell
SG ... Amm2 (38)

Lattice parameters (Å, degrees): 2.8383 3.6096 12.0881 90.00 90.00 90.00
Site moments in Bohr magnetons follow the coordinates.
Fractional coordinates of all 8 atoms:
Mn1 0.5000 0.0000 0.9650  0.38
Mn2 0.5000 0.5000 0.4650  0.38
S1 0.0000 0.0000 0.8272  0.00
S2 0.0000 0.5000 0.3272  0.00
Au1 0.0000 0.5000 0.6749  -0.01
Au2 0.0000 0.0000 0.1749  -0.01
Si1 0.0000 0.0000 0.5227  -0.02
Si2 0.0000 0.5000 0.0227  -0.02

***

[2]
MnSiAuS after structural relaxation, computed with GGA-PBE.

Computed properties:
Calculated volume ... 15.71 A^3/atom
Crystal system ... trigonal
DFT total energy ... -22.73 eV/f.u.
Raw formation energy ... -0.182 eV per atom
Energy relative to the lowest polymorph listed for this composition ... 0.054 eV/atom
Magnetic moment ... 0.00 μB per cell
SG ... R3m (160)

Lattice parameters (Å, degrees): 3.0382 3.0382 23.5839 90.00 90.00 120.00
Fractional coordinates of all 12 atoms:
Mn1 0.0000 0.0000 0.6438
Mn2 0.3333 0.6667 0.3105
Mn3 0.6667 0.3333 0.9772
S1 0.6667 0.3333 0.3656
S2 0.3333 0.6667 0.6990
S3 0.0000 0.0000 0.0323
Au1 0.0000 0.0000 0.1378
Au2 0.6667 0.3333 0.4711
Au3 0.3333 0.6667 0.8045
Si1 0.0000 0.0000 0.2383
Si2 0.6667 0.3333 0.5717
Si3 0.3333 0.6667 0.9050

***

[3]
MnSiAuS after structural relaxation, computed with GGA-PBE.

Computed properties:
Calculated volume ... 15.23 A^3/atom
Crystal system ... triclinic
DFT total energy ... -22.79 eV/f.u.
Raw formation energy ... -0.198 eV per atom
Energy relative to the lowest polymorph listed for this composition ... 0.038 eV/atom
Magnetic moment ... 0.00 μB per cell
SG ... P1 (1)

Lattice parameters (Å, degrees): 2.9222 3.0586 7.8390 84.77 79.86 62.06
Fractional coordinates of all 4 atoms:
S1 0.0397 0.9723 0.3880
Mn1 0.4489 0.3213 0.2147
Si1 0.2277 0.9691 0.9999
Au1 0.9040 0.9533 0.7235

***

[4]
Ta2MnAuS after structural relaxation, computed with GGA-PBE.

Computed properties:
Calculated volume ... 19.77 A^3/atom
Crystal system ... tetragonal
DFT total energy ... -35.14 eV/f.u.
Raw formation energy ... 1.028 eV per atom
Energy relative to the lowest polymorph listed for this composition ... 0.130 eV/atom
Magnetic moment ... 0.00 μB per cell
SG ... P4/mmm (123)

Lattice parameters (Å, degrees): 4.5690 4.7344 4.5690 90.00 90.00 90.00
Fractional coordinates of all 5 atoms:
Ta1 0.5000 0.0000 0.0000
Ta2 0.0000 0.0000 0.5000
S1 0.5000 0.5000 0.5000
Mn1 0.0000 0.0000 0.0000
Au1 0.0000 0.5000 0.0000

***

[5]
Ta2MnAuS after structural relaxation, computed with GGA-PBE.

Computed properties:
Calculated volume ... 18.55 A^3/atom
Crystal system ... tetragonal
DFT total energy ... -35.79 eV/f.u.
Raw formation energy ... 0.898 eV per atom
Energy relative to the lowest polymorph listed for this composition ... 0.000 eV/atom
Magnetic moment ... 0.08 μB per cell
SG ... P4/mmm (123)

Lattice parameters (Å, degrees): 4.5105 4.5590 4.5105 90.00 90.00 90.00
Site moments in Bohr magnetons follow the coordinates.
Fractional coordinates of all 5 atoms:
Ta1 0.5000 0.0000 0.0000  -0.03
Ta2 0.0000 0.0000 0.5000  -0.02
Mn1 0.5000 0.5000 0.5000  -0.05
Au1 0.0000 0.5000 0.0000  0.01
S1 0.0000 0.0000 0.0000  0.00

***

[6]
TiMnAu2S after structural relaxation, computed with GGA-PBE.

Computed properties:
Calculated volume ... 18.29 A^3/atom
Crystal system ... tetragonal
DFT total energy ... -24.63 eV/f.u.
Raw formation energy ... 0.623 eV per atom
Magnetic moment ... 0.00 μB per cell
SG ... P4/mmm (123)

Lattice parameters (Å, degrees): 4.7476 4.0583 4.7476 90.00 90.00 90.00
Fractional coordinates of all 5 atoms:
Mn1 0.0000 0.5000 0.0000
S1 0.0000 0.0000 0.0000
Au1 0.0000 0.0000 0.5000
Au2 0.5000 0.0000 0.0000
Ti1 0.5000 0.5000 0.5000

***

[7]
MnWAuS2 after structural relaxation, computed with GGA-PBE.

Computed properties:
Calculated volume ... 18.95 A^3/atom
Crystal system ... tetragonal
DFT total energy ... -28.57 eV/f.u.
Raw formation energy ... 1.017 eV per atom
Magnetic moment ... 6.19 μB per cell
SG ... P4/mmm (123)

Lattice parameters (Å, degrees): 4.3862 4.3862 4.9244 90.00 90.00 90.00
Site moments in Bohr magnetons follow the coordinates.
Fractional coordinates of all 5 atoms:
Au1 0.0000 0.0000 0.5000  0.06
S1 0.0000 0.5000 0.0000  -0.10
S2 0.5000 0.0000 0.0000  -0.10
Mn1 0.0000 0.0000 0.0000  2.81
W1 0.5000 0.5000 0.5000  2.61

***

[8]
Mn3SbAu after structural relaxation, computed with GGA-PBE.

Computed properties:
Calculated volume ... 23.86 A^3/atom
Crystal system ... cubic
DFT total energy ... -31.19 eV/f.u.
Raw formation energy ... 0.743 eV per atom
Energy relative to the lowest polymorph listed for this composition ... 0.000 eV/atom
Magnetic moment ... 12.56 μB per cell
SG ... Pm-3m (221)

Lattice parameters (Å, degrees): 4.9226 4.9226 4.9226 90.00 90.00 90.00
Site moments in Bohr magnetons follow the coordinates.
Fractional coordinates of all 5 atoms:
Sb1 0.5000 0.5000 0.5000  -0.12
Mn1 0.0000 0.5000 0.0000  3.99
Mn2 0.0000 0.0000 0.5000  4.19
Mn3 0.5000 0.0000 0.0000  3.82
Au1 0.0000 0.0000 0.0000  0.11

***

> What is the calculated volume in the second record?

15.71 A^3/atom